# CeZrSeN2

A relaxed CeZrSeN2 crystal (GGA-PBE, Alexandria).

## Properties
Its total magnetization is 0.00 μB/cell. The formation energy (no corrections) is -1.58 eV per atom.

Cell: 4.031 6.568 7.577 Å, 110.51 90.00 90.00°
Element x y z (fractional)
N1 0.750 0.518 0.387
N2 0.750 0.518 0.876
N3 0.250 0.482 0.613
N4 0.250 0.482 0.124
Se1 0.750 0.964 0.259
Se2 0.250 0.036 0.741
Ce1 0.250 0.683 0.931
Ce2 0.750 0.317 0.069
Zr1 0.250 0.653 0.423
Zr2 0.750 0.347 0.577